Record 1
First-principles (PBE) data for an optimized crystal structure of NiBr3Cl, as listed in Alexandria via LeMat-Bulk.

theoretical density = 3.82 g/cm3
SG = Pm-3m
E above lowest polymorph = 1036 meV per atom

```
5
Lattice="5.255 0.000 0.000 0.000 5.255 0.000 0.000 0.000 5.255" Properties=species:S:1:pos:R:3 pbc="T T T"
Br 2.627 0.000 0.000
Br 0.000 2.627 0.000
Br 0.000 0.000 2.627
Cl 0.000 0.000 0.000
Ni 2.627 2.627 2.627
```

---

Record 2
First-principles (PBE) data for an optimized crystal structure of PuAgPt2, as listed in Alexandria via LeMat-Bulk.

E_tot = -7.7658 eV per atom
theoretical density = 16.34 g/cm3
SG = P4/mmm

```
4
Lattice="-1.231 -3.703 -0.759 2.376 -0.041 -3.651 3.393 -1.584 2.226" Properties=species:S:1:pos:R:3 pbc="T T T"
Ag -0.615 -1.851 -0.380
Pt 1.696 -0.792 1.113
Pt 1.188 -0.021 -1.825
Pu 2.269 -2.664 -1.092
```

---

Record 3
First-principles (PBE) data for an optimized crystal structure of ZnCu4Hg, as listed in Alexandria via LeMat-Bulk.

E_tot = -2.8958 eV per atom
theoretical density = 9.99 g/cm3
SG = F-43m

```
6
Lattice="0.000 3.510 3.510 3.510 0.000 3.510 3.510 3.510 0.000" Properties=species:S:1:pos:R:3 pbc="T T T"
Cu 4.391 2.629 2.629
Zn 0.000 0.000 0.000
Hg 1.755 1.755 1.755
Cu 2.629 4.391 2.629
Cu 2.629 2.629 4.391
Cu 4.391 4.391 4.391
```

---

Record 4
First-principles (PBE) data for an optimized crystal structure of Na2BiPt2, as listed in Alexandria via LeMat-Bulk.

theoretical density = 9.19 g/cm3
SG = P4/mbm
E above lowest polymorph = 148 meV per atom

```
10
Lattice="7.030 0.000 0.000 0.000 7.030 0.000 0.000 0.000 4.717" Properties=species:S:1:pos:R:3 pbc="T T T"
Pt 2.588 6.103 0.000
Na 4.673 5.872 2.358
Bi 3.515 3.515 0.000
Pt 4.442 0.927 0.000
Na 1.158 4.673 2.358
Na 2.357 1.158 2.358
Pt 6.103 4.442 0.000
Bi 0.000 0.000 0.000
Pt 0.927 2.588 0.000
Na 5.872 2.357 2.358
```

---

Which formula does entry 3 have?
ZnCu4Hg